(1)
# ScHgSO PBE relaxed
data_ScHgSO
_symmetry_space_group_name_H-M 'P 1 21/c 1'
_symmetry_Int_Tables_number 14
_symmetry_space_group_name_Hall '-P 2ybc'
_cell_length_a 8.089
_cell_length_b 6.789
_cell_length_c 6.132
_cell_angle_alpha 90.00
_cell_angle_beta 94.18
_cell_angle_gamma 90.00
loop_
_atom_site_label
_atom_site_fract_x
_atom_site_fract_y
_atom_site_fract_z
_atom_site_occupancy
Sc1 0.010 0.141 0.201 1
Hg1 0.389 0.636 0.476 1
S1 0.204 0.584 0.969 1
O1 0.093 0.132 0.903 1
# Raw total energy, eV/atom: -5.696
# Total magnetic moment, μB per atom: 0.00

***

(2)
# ScHgSO PBE relaxed
data_ScHgSO
_symmetry_space_group_name_H-M 'P c a 21'
_symmetry_Int_Tables_number 29
_symmetry_space_group_name_Hall 'P 2c -2ac'
_cell_length_a 8.382
_cell_length_b 8.087
_cell_length_c 5.063
_cell_angle_alpha 90.00
_cell_angle_beta 90.00
_cell_angle_gamma 90.00
loop_
_atom_site_label
_atom_site_fract_x
_atom_site_fract_y
_atom_site_fract_z
_atom_site_occupancy
Sc1 0.090 0.149 0.000 1
Hg1 0.160 0.607 0.134 1
S1 0.107 0.098 0.498 1
O1 0.036 0.370 0.979 1
# Raw total energy, eV/atom: -5.309
# Total magnetic moment, μB per atom: 0.00

***

(3)
# ScHgSO PBE relaxed
data_ScHgSO
_symmetry_space_group_name_H-M 'C 1 2 1'
_symmetry_Int_Tables_number 5
_symmetry_space_group_name_Hall 'C 2y'
_cell_length_a 5.296
_cell_length_b 5.300
_cell_length_c 11.669
_cell_angle_alpha 90.00
_cell_angle_beta 94.46
_cell_angle_gamma 90.00
loop_
_atom_site_label
_atom_site_fract_x
_atom_site_fract_y
_atom_site_fract_z
_atom_site_occupancy
Sc1 0.234 0.000 0.416 1
Hg1 0.126 0.581 0.103 1
S1 0.057 0.242 0.746 1
O1 0.000 0.255 0.500 1
O2 0.000 0.752 0.500 1
# Raw total energy, eV/atom: -5.754
# Total magnetic moment, μB per atom: 0.00

***

(4)
# ScHgSO PBE relaxed
data_ScHgSO
_symmetry_space_group_name_H-M 'P m c 21'
_symmetry_Int_Tables_number 26
_symmetry_space_group_name_Hall 'P 2c -2'
_cell_length_a 4.151
_cell_length_b 8.390
_cell_length_c 5.421
_cell_angle_alpha 90.00
_cell_angle_beta 90.00
_cell_angle_gamma 90.00
loop_
_atom_site_label
_atom_site_fract_x
_atom_site_fract_y
_atom_site_fract_z
_atom_site_occupancy
Sc1 0.000 0.132 0.000 1
Hg1 0.500 0.313 0.563 1
S1 0.500 0.305 0.069 1
O1 0.000 0.069 0.663 1
# Raw total energy, eV/atom: -5.515
# Total magnetic moment, μB per atom: 0.00

***

(5)
# ScHgSO PBE relaxed
data_ScHgSO
_symmetry_space_group_name_H-M 'P 4/n m m'
_symmetry_Int_Tables_number 129
_cell_length_a 3.812
_cell_length_b 3.812
_cell_length_c 9.772
_cell_angle_alpha 90.00
_cell_angle_beta 90.00
_cell_angle_gamma 90.00
loop_
_symmetry_equiv_pos_as_xyz
'x,y,z'
'-x,-y,-z'
'-y+1/2,x,z'
'y+1/2,-x,-z'
'-x+1/2,-y+1/2,z'
'x+1/2,y+1/2,-z'
'y,-x+1/2,z'
'-y,x+1/2,-z'
'x+1/2,-y,-z'
'-x+1/2,y,z'
'-y,-x,-z'
'y,x,z'
'-x,y+1/2,-z'
'x,-y+1/2,z'
'y+1/2,x+1/2,-z'
'-y+1/2,-x+1/2,z'
loop_
_atom_site_label
_atom_site_fract_x
_atom_site_fract_y
_atom_site_fract_z
_atom_site_occupancy
Sc1 0.250 0.250 0.096 1
Hg1 0.250 0.750 0.500 1
S1 0.250 0.250 0.749 1
O1 0.250 0.750 0.000 1
# Raw total energy, eV/atom: -5.436
# Total magnetic moment, μB per atom: 0.08

***

(6)
# SmHgSO PBE relaxed
data_SmHgSO
_symmetry_space_group_name_H-M 'P m c 21'
_symmetry_Int_Tables_number 26
_symmetry_space_group_name_Hall 'P 2c -2'
_cell_length_a 4.802
_cell_length_b 8.847
_cell_length_c 5.132
_cell_angle_alpha 90.00
_cell_angle_beta 90.00
_cell_angle_gamma 90.00
loop_
_atom_site_label
_atom_site_fract_x
_atom_site_fract_y
_atom_site_fract_z
_atom_site_occupancy
Sm1 0.000 0.144 0.000 1
Hg1 0.500 0.311 0.552 1
S1 0.500 0.304 0.055 1
O1 0.000 0.094 0.579 1
# Raw total energy, eV/atom: -5.109
# Total magnetic moment, μB per atom: 0.00

***

(7)
# SmHgSO PBE relaxed
data_SmHgSO
_symmetry_space_group_name_H-M 'P 4/n m m'
_symmetry_Int_Tables_number 129
_cell_length_a 3.997
_cell_length_b 3.997
_cell_length_c 9.991
_cell_angle_alpha 90.00
_cell_angle_beta 90.00
_cell_angle_gamma 90.00
loop_
_symmetry_equiv_pos_as_xyz
'x,y,z'
'-x,-y,-z'
'-y+1/2,x,z'
'y+1/2,-x,-z'
'-x+1/2,-y+1/2,z'
'x+1/2,y+1/2,-z'
'y,-x+1/2,z'
'-y,x+1/2,-z'
'x+1/2,-y,-z'
'-x+1/2,y,z'
'-y,-x,-z'
'y,x,z'
'-x,y+1/2,-z'
'x,-y+1/2,z'
'y+1/2,x+1/2,-z'
'-y+1/2,-x+1/2,z'
loop_
_atom_site_label
_atom_site_fract_x
_atom_site_fract_y
_atom_site_fract_z
_atom_site_occupancy
Sm1 0.250 0.250 0.116 1
Hg1 0.250 0.750 0.500 1
S1 0.250 0.250 0.735 1
O1 0.250 0.750 0.000 1
# Raw total energy, eV/atom: -5.231
# Total magnetic moment, μB per atom: 0.09

***

(8)
# SmHgSO PBE relaxed
data_SmHgSO
_symmetry_space_group_name_H-M 'P 1 c 1'
_symmetry_Int_Tables_number 7
_symmetry_space_group_name_Hall 'P -2yc'
_cell_length_a 11.313
_cell_length_b 5.499
_cell_length_c 5.674
_cell_angle_alpha 90.00
_cell_angle_beta 102.81
_cell_angle_gamma 90.00
loop_
_atom_site_label
_atom_site_fract_x
_atom_site_fract_y
_atom_site_fract_z
_atom_site_occupancy
Sm1 0.000 0.239 0.000 1
Sm2 0.212 0.261 0.594 1
Hg1 0.521 0.408 0.762 1
Hg2 0.689 0.065 0.839 1
S1 0.362 0.275 0.157 1
S2 0.856 0.232 0.436 1
O1 0.099 0.500 0.293 1
O2 0.114 0.000 0.300 1
# Raw total energy, eV/atom: -5.389
# Total magnetic moment, μB per atom: 0.00

***

Q: Which formula does entry 7 have?
A: SmHgSO

***

Q: Look up the total magnetic moment of the second one.
A: 0.00 μB per atom